DFT (PBE) results for crystalline SiNi2P at its relaxed geometry.

Total magnetic moment: 0.0 μB per cell
Calculated volume: 50.2 Å³/f.u.
Uncorrected formation energy: -0.45 eV per atom

Cell lengths 4.987, 5.903, 13.643 Å; angles 90.00, 90.00, 90.00 degrees
Fractional coordinates of all 32 atoms:
Si: 0.182 0.077 0.940
Ni: 0.013 0.198 0.566
Ni: 0.013 0.698 0.934
Ni: 0.987 0.302 0.066
Ni: 0.487 0.198 0.066
P: 0.182 0.560 0.319
Ni: 0.486 0.696 0.677
Si: 0.818 0.423 0.440
Ni: 0.986 0.304 0.823
Si: 0.318 0.577 0.060
Ni: 0.514 0.304 0.323
Ni: 0.014 0.696 0.177
Si: 0.818 0.923 0.060
Ni: 0.014 0.196 0.323
Ni: 0.986 0.804 0.677
Ni: 0.514 0.804 0.177
Ni: 0.987 0.802 0.434
P: 0.818 0.440 0.681
P: 0.682 0.940 0.319
Ni: 0.513 0.302 0.566
P: 0.318 0.560 0.819
P: 0.818 0.940 0.819
P: 0.182 0.060 0.181
Si: 0.182 0.577 0.560
Si: 0.682 0.423 0.940
P: 0.318 0.060 0.681
Ni: 0.513 0.802 0.934
Ni: 0.487 0.698 0.434
P: 0.682 0.440 0.181
Ni: 0.486 0.196 0.823
Si: 0.682 0.923 0.560
Si: 0.318 0.077 0.440